A plane-wave DFT calculation with GGA+U was carried out for Ba2NbCoF after structural relaxation.

V	28.994	A^3/atom
VASP energy	-21.183	eV/f.u.

POSCAR file:
```
Ba2NbCoF
1.0
5.412 0.000 0.000
0.000 4.950 0.000
0.000 0.000 5.412
Nb Co Ba F
1 1 2 1
Cartesian
2.706 2.475 2.706 Nb
0.000 2.475 0.000 Co
0.000 0.000 2.706 Ba
2.706 0.000 0.000 Ba
0.000 0.000 0.000 F
```